(1)
This record from Alexandria describes a relaxed structure of Sc2NbAg. The functional is GGA-PBE.

CIF file:
```
data_Sc2NbAg
_cell_length_a 4.194
_cell_length_b 4.194
_cell_length_c 19.399
_cell_angle_alpha 90.00
_cell_angle_beta 90.00
_cell_angle_gamma 90.00
_symmetry_space_group_name_H-M 'I -4 2 d'
_symmetry_Int_Tables_number 122
_symmetry_space_group_name_Hall 'I -4 2bw'
loop_
_atom_site_label
_atom_site_type_symbol
_atom_site_fract_x
_atom_site_fract_y
_atom_site_fract_z
Sc1 Sc 0.245 0.250 0.125
Nb1 Nb 0.000 0.000 0.000
Ag1 Ag 0.000 0.000 0.500
```

Results
DFT total energy = -5.8967 eV per atom
Mass density = 5.7 Mg/m³
Energy of formation from the pure elements = 0.50 eV per atom

***

(2)
This record from Alexandria describes a relaxed structure of Sc2NbAg2. The functional is GGA-PBE.

CIF file:
```
data_Sc2NbAg2
_cell_length_a 7.919
_cell_length_b 7.919
_cell_length_c 3.170
_cell_angle_alpha 90.00
_cell_angle_beta 90.00
_cell_angle_gamma 90.00
_symmetry_space_group_name_H-M 'P 4/m b m'
_symmetry_Int_Tables_number 127
_symmetry_space_group_name_Hall '-P 4 2ab'
loop_
_atom_site_label
_atom_site_type_symbol
_atom_site_fract_x
_atom_site_fract_y
_atom_site_fract_z
Sc1 Sc 0.160 0.340 0.000
Nb1 Nb 0.000 0.000 0.000
Ag1 Ag 0.138 0.638 0.500
```

Results
DFT total energy = -5.5565 eV per atom
Mass density = 6.7 Mg/m³
Energy of formation from the pure elements = 0.13 eV per atom

***

(3)
This record from Alexandria describes a relaxed structure of ScNbAg3. The functional is GGA-PBE.

CIF file:
```
data_ScNbAg3
_cell_length_a 5.063
_cell_length_b 5.063
_cell_length_c 5.063
_cell_angle_alpha 90.00
_cell_angle_beta 90.00
_cell_angle_gamma 90.00
_symmetry_space_group_name_H-M 'P m -3 m'
_symmetry_Int_Tables_number 221
_symmetry_space_group_name_Hall '-P 4 2 3'
loop_
_atom_site_label
_atom_site_type_symbol
_atom_site_fract_x
_atom_site_fract_y
_atom_site_fract_z
Sc1 Sc 0.000 0.000 0.000
Nb1 Nb 0.500 0.500 0.500
Ag1 Ag 0.000 0.500 0.500
```

Results
DFT total energy = -3.8386 eV per atom
Mass density = 5.9 Mg/m³
Energy of formation from the pure elements = 1.15 eV per atom